The following is a PBE-GGA calculation of a relaxed SrCoBi2C crystal, from the Alexandria database.

The space group is P4/mmm (No. 123) and the conventional cell measures 4.929, 4.929 and 5.028 Å, with angles of 90.00, 90.00 and 90.00 degrees. The distinct sites, in fractional coordinates, are Sr at (0.000, 0.000, 0.000), Co at (0.500, 0.500, 0.000), Bi at (0.000, 0.500, 0.500) and C at (0.000, 0.000, 0.500).

For the volume, the calculation gives 24.428 Å³ per atom. As for the formation energy: 1.004 eV/atom. As for the uncorrected energy: -4.15 eV/atom.